[1]
Material: LiAlZnCr
Method: DFT, PBE
State: optimized geometry

a b c (Å): 4.347 4.347 4.347
angles (deg): 60.00 60.00 60.00
Site moments in Bohr magnetons follow the coordinates.
Element x y z (fractional)
Cr  0.000  0.000  0.000  3.04
Al  0.250  0.250  0.250  -0.05
Li  0.500  0.500  0.500  -0.04
Zn  0.750  0.750  0.750  -0.03

Computed properties:
Density of states at the Fermi level   1.861 states/eV/f.u.
Electronic total energy   -4.1415 eV/atom
Crystal system   cubic
SG   No. 216

---

[2]
Material: LiZrAlCr2
Method: DFT, PBE
State: optimized geometry

a b c (Å): 4.686 4.808 4.686
angles (deg): 90.00 90.00 90.00
Site moments in Bohr magnetons follow the coordinates.
Element x y z (fractional)
Cr  0.500  0.000  0.000  3.11
Al  0.500  0.500  0.500  -0.04
Zr  0.000  0.000  0.000  -0.49
Li  0.000  0.500  0.000  -0.10
Cr  0.000  0.000  0.500  2.34

Computed properties:
Density of states at the Fermi level   3.667 states/eV/f.u.
Electronic total energy   -5.2508 eV/atom
Crystal system   tetragonal
SG   No. 123

---

[3]
Material: LuAl8Cr4
Method: DFT, PBE
State: optimized geometry

a b c (Å): 6.755 6.755 6.755
angles (deg): 98.07 98.07 136.00
Site moments in Bohr magnetons follow the coordinates.
Element x y z (fractional)
Al  0.500  0.721  0.221  -0.01
Al  0.500  0.279  0.779  -0.01
Lu  0.000  0.000  0.000  -0.01
Cr  0.500  0.500  0.500  0.40
Al  0.000  0.334  0.334  -0.01
Al  0.334  0.000  0.334  -0.01
Al  0.666  0.000  0.666  -0.01
Cr  0.500  0.000  0.000  0.40
Cr  0.000  0.500  0.000  0.40
Al  0.279  0.500  0.779  -0.01
Cr  0.000  0.000  0.500  0.40
Al  0.721  0.500  0.221  -0.01
Al  0.000  0.666  0.666  -0.01

Computed properties:
Density of states at the Fermi level   10.032 states/eV/f.u.
Electronic total energy   -5.8312 eV/atom
Crystal system   tetragonal
SG   No. 139

---

[4]
Material: LuAlCrRu
Method: DFT, PBE
State: optimized geometry

a b c (Å): 4.542 4.542 4.542
angles (deg): 60.00 60.00 60.00
Site moments in Bohr magnetons follow the coordinates.
Element x y z (fractional)
Al  0.250  0.250  0.250  0.04
Ru  0.000  0.000  0.000  -0.02
Lu  0.750  0.750  0.750  -0.12
Cr  0.500  0.500  0.500  -3.06

Computed properties:
Density of states at the Fermi level   5.803 states/eV/f.u.
Electronic total energy   -7.0157 eV/atom
Crystal system   cubic
SG   No. 216

---

[5]
Material: TbLuAlCr
Method: DFT, PBE
State: optimized geometry

a b c (Å): 5.054 5.054 5.054
angles (deg): 60.00 60.00 60.00
Site moments in Bohr magnetons follow the coordinates.
Element x y z (fractional)
Lu  0.500  0.500  0.500  -0.01
Tb  0.000  0.000  0.000  0.01
Cr  0.750  0.750  0.750  3.50
Al  0.250  0.250  0.250  -0.03

Computed properties:
Density of states at the Fermi level   2.870 states/eV/f.u.
Electronic total energy   -5.6564 eV/atom
Crystal system   cubic
SG   No. 216

---

[6]
Material: MgAlCr3
Method: DFT, PBE
State: optimized geometry

a b c (Å): 4.766 4.766 4.766
angles (deg): 90.00 90.00 90.00
Site moments in Bohr magnetons follow the coordinates.
Element x y z (fractional)
Cr  0.500  0.000  0.000  3.12
Mg  0.500  0.500  0.500  -0.04
Cr  0.000  0.000  0.500  3.66
Cr  0.000  0.500  0.000  3.37
Al  0.000  0.000  0.000  -0.10

Computed properties:
Density of states at the Fermi level   4.217 states/eV/f.u.
Electronic total energy   -5.6734 eV/atom
Crystal system   cubic
SG   No. 221

---

[7]
Material: MgAl2Cr
Method: DFT, PBE
State: optimized geometry

a b c (Å): 5.226 5.226 5.226
angles (deg): 143.78 131.58 61.94
Site moments in Bohr magnetons follow the coordinates.
Element x y z (fractional)
Cr  0.508  0.508  0.000  1.64
Al  0.736  0.236  0.500  -0.04
Al  0.995  0.995  0.000  -0.04
Mg  0.261  0.761  0.500  -0.02

Computed properties:
Density of states at the Fermi level   1.693 states/eV/f.u.
Electronic total energy   -4.5975 eV/atom
Crystal system   orthorhombic
SG   No. 44

---

[8]
Material: MgAl3Cr
Method: DFT, PBE
State: optimized geometry

a b c (Å): 4.654 4.654 4.654
angles (deg): 90.00 90.00 90.00
Site moments in Bohr magnetons follow the coordinates.
Element x y z (fractional)
Al  0.000  0.500  0.000  -0.01
Mg  0.500  0.500  0.500  -0.01
Al  0.000  0.000  0.500  0.01
Cr  0.000  0.000  0.000  0.56
Al  0.500  0.000  0.000  -0.01

Computed properties:
Density of states at the Fermi level   2.470 states/eV/f.u.
Electronic total energy   -4.0707 eV/atom
Crystal system   cubic
SG   No. 221

---

Q: What is the density of states at the Fermi level in the first record?
A: 1.861 states/eV/f.u.